VASP calculation (meta-GGA SCAN) on TaSbPt4 at its PBEsol-relaxed geometry.

```
TaSbPt4
1.0
-3.995 3.382 -0.403
-3.819 -0.854 -3.499
-4.792 -1.392 1.632
Pt Sb Ta
4 1 1
Direct
0.374 0.374 0.877
0.374 0.877 0.374
0.877 0.374 0.374
0.374 0.374 0.374
0.750 0.750 0.750
0.000 0.000 0.000
```

Results
Energy: -384.6 eV per cell
D(E_F): 0.991 states/eV per atom
Formation energy without anion corrections: 0.01 eV per atom

=====

VASP calculation (meta-GGA SCAN) on TaSbPt2 at its PBEsol-relaxed geometry.

```
TaSbPt2
1.0
3.233 0.000 0.000
0.000 3.838 0.000
0.000 0.000 5.602
Pt Sb Ta
2 1 1
Direct
0.000 0.000 0.266
0.000 0.000 0.734
0.500 0.500 0.000
0.500 0.500 0.500
```

Results
Energy: -245.7 eV per cell
D(E_F): 0.504 states/eV per atom
Formation energy without anion corrections: -0.36 eV per atom

=====

VASP calculation (meta-GGA SCAN) on TaSb2Pt at its PBEsol-relaxed geometry.

```
TaSb2Pt
1.0
3.010 0.000 0.000
0.000 5.113 -0.009
-1.505 -1.429 5.067
Pt Ta Sb
1 1 2
Direct
0.775 0.197 0.550
0.473 0.543 0.947
0.022 0.067 0.044
0.229 0.693 0.459
```

Results
Energy: -211.2 eV per cell
D(E_F): 0.662 states/eV per atom
Formation energy without anion corrections: 0.03 eV per atom

=====

VASP calculation (meta-GGA SCAN) on TaSb2TePt at its PBEsol-relaxed geometry.

```
TaSb2TePt
1.0
-2.986 3.132 2.628
-2.785 0.824 -4.147
-3.078 -4.003 1.272
Te Sb Ta Pt
1 2 1 1
Direct
0.000 0.000 0.500
0.000 0.500 0.000
0.500 0.000 0.000
0.500 0.500 0.500
0.000 0.000 0.000
```

Results
Energy: -243.4 eV per cell
D(E_F): 0.950 states/eV per atom
Formation energy without anion corrections: 1.04 eV per atom

=====

VASP calculation (meta-GGA SCAN) on TbSbPt at its PBEsol-relaxed geometry.

```
TbSbPt
1.0
-3.482 2.994 -0.518
-3.918 -0.579 2.381
-1.074 2.910 3.426
Tb Sb Pt
1 1 1
Direct
0.500 0.500 0.500
0.000 0.000 0.000
0.750 0.750 0.750
```

Results
Energy: -158.6 eV per cell
D(E_F): 0.011 states/eV per atom
Formation energy without anion corrections: -1.47 eV per atom

=====

VASP calculation (meta-GGA SCAN) on Tc3SbPt at its PBEsol-relaxed geometry.

```
Tc3SbPt
1.0
-0.217 3.197 -3.411
-4.672 -0.020 0.279
0.176 3.417 3.193
Tc Sb Pt
3 1 1
Direct
0.000 0.000 0.500
0.500 0.000 0.000
0.000 0.500 0.000
0.000 0.000 0.000
0.500 0.500 0.500
```

Results
Energy: -201.3 eV per cell
D(E_F): 1.497 states/eV per atom
Formation energy without anion corrections: 2.26 eV per atom

=====

VASP calculation (meta-GGA SCAN) on YTcSb2Pt at its PBEsol-relaxed geometry.

```
YTcSb2Pt
1.0
-0.491 -4.791 0.408
1.351 0.274 4.852
-4.832 0.607 1.311
Sb Y Tc Pt
2 1 1 1
Direct
0.000 0.000 0.500
0.000 0.500 0.000
0.500 0.500 0.500
0.000 0.000 0.000
0.500 0.000 0.000
```

Results
Energy: -207.1 eV per cell
D(E_F): 0.779 states/eV per atom
Formation energy without anion corrections: 0.11 eV per atom

=====

VASP calculation (meta-GGA SCAN) on SbTePt at its PBEsol-relaxed geometry.

```
SbTePt
1.0
4.757 0.000 0.000
2.378 4.120 0.000
2.378 1.373 3.884
Sb Te Pt
1 1 1
Direct
0.500 0.500 0.500
0.750 0.750 0.750
0.000 0.000 0.000
```

Results
Energy: -143.3 eV per cell
D(E_F): 0.644 states/eV per atom
Formation energy without anion corrections: 0.46 eV per atom

=====

VASP calculation (meta-GGA SCAN) on SbTePt at its PBEsol-relaxed geometry.

```
SbTePt
1.0
6.537 0.000 0.000
0.000 6.537 0.000
0.000 0.000 6.537
Pt Te Sb
4 4 4
Direct
0.496 0.504 0.004
0.996 0.996 0.996
0.004 0.496 0.504
0.504 0.004 0.496
0.128 0.872 0.372
0.628 0.628 0.628
0.372 0.128 0.872
0.872 0.372 0.128
0.129 0.629 0.871
0.871 0.129 0.629
0.629 0.871 0.129
0.371 0.371 0.371
```

Results
Energy: -585.0 eV per cell
D(E_F): 0.408 states/eV per atom
Formation energy without anion corrections: -0.51 eV per atom

=====

VASP calculation (meta-GGA SCAN) on Sb2TePt at its PBEsol-relaxed geometry.

```
Sb2TePt
1.0
-2.374 1.085 -1.810
-1.367 -2.866 0.075
-4.734 2.458 7.683
Sb Te Pt
2 1 1
Direct
0.500 0.500 0.244
0.000 0.000 0.944
0.000 0.000 0.551
0.500 0.500 0.762
```

Results
Energy: -181.4 eV per cell
D(E_F): 0.640 states/eV per atom
Formation energy without anion corrections: 0.15 eV per atom

=====

VASP calculation (meta-GGA SCAN) on SbTePt at its PBEsol-relaxed geometry.

```
SbTePt
1.0
-3.378 -1.856 1.146
1.378 -0.468 -3.748
2.726 -4.031 1.506
Pt Te Sb
1 1 1
Direct
0.000 0.000 0.997
0.667 0.333 0.266
0.333 0.667 0.737
```

Results
Energy: -146.2 eV per cell
D(E_F): 0.442 states/eV per atom
Formation energy without anion corrections: -0.51 eV per atom

=====

VASP calculation (meta-GGA SCAN) on TlSb2TePt at its PBEsol-relaxed geometry.

```
TlSb2TePt
1.0
-1.573 -3.539 3.443
4.878 -1.674 0.508
0.825 3.659 4.137
Sb Te Pt Tl
2 1 1 1
Direct
0.500 0.000 0.000
0.000 0.500 0.000
0.000 0.000 0.500
0.000 0.000 0.000
0.500 0.500 0.500
```

Results
Energy: -253.3 eV per cell
D(E_F): 0.712 states/eV per atom
Formation energy without anion corrections: 0.20 eV per atom

=====

VASP calculation (meta-GGA SCAN) on ZnSbTe2Pt at its PBEsol-relaxed geometry.

```
ZnSbTe2Pt
1.0
-3.700 -1.213 -3.105
-1.492 -3.627 3.194
-3.039 3.303 2.332
Zn Te Sb Pt
1 2 1 1
Direct
0.000 0.000 0.000
0.000 0.500 0.000
0.000 0.000 0.500
0.500 0.000 0.000
0.500 0.500 0.500
```

Results
Energy: -190.6 eV per cell
D(E_F): 0.862 states/eV per atom
Formation energy without anion corrections: 0.98 eV per atom

=====

VASP calculation (meta-GGA SCAN) on Ti3SbPt at its PBEsol-relaxed geometry.

```
Ti3SbPt
1.0
4.823 0.000 0.000
0.000 4.823 0.000
0.000 0.000 4.823
Pt Ti Sb
1 3 1
Direct
0.500 0.500 0.500
0.500 0.000 0.000
0.000 0.000 0.500
0.000 0.500 0.000
0.000 0.000 0.000
```

Results
Energy: -151.0 eV per cell
D(E_F): 0.584 states/eV per atom
Formation energy without anion corrections: 0.91 eV per atom

=====

VASP calculation (meta-GGA SCAN) on Tl2SbPt at its PBEsol-relaxed geometry.

```
Tl2SbPt
1.0
4.147 0.000 0.000
2.074 3.591 0.000
2.074 1.197 6.956
Tl Sb Pt
2 1 1
Direct
0.998 0.998 0.005
0.768 0.768 0.696
0.226 0.226 0.323
0.508 0.508 0.477
```

Results
Energy: -252.9 eV per cell
D(E_F): 0.392 states/eV per atom
Formation energy without anion corrections: -0.19 eV per atom
Polymorph energy (0 for the lowest one): 0.00 eV per formula unit

=====

VASP calculation (meta-GGA SCAN) on Tl2SbPt at its PBEsol-relaxed geometry.

```
Tl2SbPt
1.0
-2.971 -1.110 2.400
2.844 -0.262 3.400
-0.930 5.003 1.163
Pt Tl Sb
1 2 1
Direct
0.500 0.000 0.500
0.500 0.500 0.000
0.000 0.000 0.000
0.000 0.500 0.500
```

Results
Energy: -251.3 eV per cell
D(E_F): 0.579 states/eV per atom
Formation energy without anion corrections: 0.22 eV per atom
Polymorph energy (0 for the lowest one): 1.66 eV per formula unit

=====

VASP calculation (meta-GGA SCAN) on Tl2SbPt at its PBEsol-relaxed geometry.

```
Tl2SbPt
1.0
-0.234 1.204 -3.996
-2.729 -3.072 -0.766
-2.517 4.184 3.595
Sb Tl Pt
1 2 1
Direct
0.000 0.000 0.000
0.250 0.750 0.500
0.750 0.250 0.500
0.500 0.500 0.000
```

Results
Energy: -251.3 eV per cell
D(E_F): 0.488 states/eV per atom
Formation energy without anion corrections: 0.21 eV per atom
Polymorph energy (0 for the lowest one): 1.60 eV per formula unit

=====

VASP calculation (meta-GGA SCAN) on TlSbPt2 at its PBEsol-relaxed geometry.

```
TlSbPt2
1.0
-0.160 -0.408 -3.813
-2.457 -2.502 -1.561
-5.408 3.676 -2.098
Pt Tl Sb
2 1 1
Direct
0.256 0.256 0.233
0.744 0.744 0.767
0.500 0.500 0.500
0.000 0.000 0.000
```

Results
Energy: -250.7 eV per cell
D(E_F): 0.409 states/eV per atom
Formation energy without anion corrections: -0.17 eV per atom

=====

VASP calculation (meta-GGA SCAN) on Tl2SbPt at its PBEsol-relaxed geometry.

```
Tl2SbPt
1.0
3.264 0.000 -0.012
0.000 3.788 0.000
-1.564 0.000 7.948
Pt Sb Tl
1 1 2
Direct
0.305 0.000 0.482
0.414 0.500 0.706
0.065 0.000 0.011
0.715 0.500 0.300
```

Results
Energy: -252.4 eV per cell
D(E_F): 0.516 states/eV per atom
Formation energy without anion corrections: -0.05 eV per atom
Polymorph energy (0 for the lowest one): 0.57 eV per formula unit

=====

VASP calculation (meta-GGA SCAN) on Tl2SbPt at its PBEsol-relaxed geometry.

```
Tl2SbPt
1.0
-2.319 1.224 -4.305
-4.023 -2.624 -1.530
-4.577 2.109 0.114
Sb Pt Tl
1 1 2
Direct
0.250 0.250 0.250
0.500 0.500 0.500
0.000 0.000 0.000
0.750 0.750 0.750
```

Results
Energy: -251.3 eV per cell
D(E_F): 0.530 states/eV per atom
Formation energy without anion corrections: 0.21 eV per atom
Polymorph energy (0 for the lowest one): 1.62 eV per formula unit